KRuRh2: optimized geometry, PBEsol.

abc: 2.7079 4.7962 4.9080
angles: 90.00 90.00 90.00
Closest atoms and distances in Å follow each position.
Fractional positions:
K (0.0000, 0.0000, 0.0000)  2 K 2.71, 4 Rh 2.75, 4 Ru 2.80
Ru (0.5000, 0.0000, 0.5000)  2 Ru 2.71, 4 Rh 2.75, 4 K 2.80
Rh (0.0000, 0.5000, 0.5000)  6 Rh 2.71-2.80, 4 Ru 2.75
Rh (0.5000, 0.5000, 0.0000)  6 Rh 2.71-2.80, 4 K 2.75

VASP energy: -5.71 eV per atom
space group: Pmmm
formation enthalpy at 0 K: 114.13 kJ per mole of atoms